Entry 1:
RbScCr2Ir | GGA-PBE | optimized geometry

Properties
calculated volume: 145 Å³/cell
theoretical density: 4.9 Mg/m³
final energy: -28.89 eV per formula unit
density of states at the Fermi level: 4.23 states/eV/f.u.

```
data_RbScCr2Ir
_space_group_name_H-M_alt 'P 4/m m m'
_space_group_IT_number 123
_space_group_name_Hall '-P 4 2'
_cell_length_a 5.4984
_cell_length_b 5.4984
_cell_length_c 4.7809
_cell_angle_alpha 90.00
_cell_angle_beta 90.00
_cell_angle_gamma 90.00
loop_
_atom_site_label
_atom_site_type_symbol
_atom_site_fract_x
_atom_site_fract_y
_atom_site_fract_z
Rb1 Rb 0.0000 0.0000 0.0000
Sc1 Sc 0.5000 0.5000 0.5000
Cr1 Cr 0.0000 0.5000 0.5000
Ir1 Ir 0.5000 0.5000 0.0000
```

Entry 2:
RbCr2SnIr | GGA-PBE | optimized geometry

Properties
calculated volume: 170 Å³/cell
theoretical density: 4.9 Mg/m³
final energy: -23.90 eV per formula unit
density of states at the Fermi level: 8.24 states/eV/f.u.

```
data_RbCr2SnIr
_space_group_name_H-M_alt 'P 4/m m m'
_space_group_IT_number 123
_space_group_name_Hall '-P 4 2'
_cell_length_a 5.1771
_cell_length_b 5.1771
_cell_length_c 6.3603
_cell_angle_alpha 90.00
_cell_angle_beta 90.00
_cell_angle_gamma 90.00
loop_
_atom_site_label
_atom_site_type_symbol
_atom_site_fract_x
_atom_site_fract_y
_atom_site_fract_z
Rb1 Rb 0.0000 0.0000 0.0000
Cr1 Cr 0.0000 0.5000 0.5000
Sn1 Sn 0.0000 0.0000 0.5000
Ir1 Ir 0.5000 0.5000 0.0000
```

Q: Which of these has the highest density of states at the Fermi level?
A: RbCr2SnIr

Q: Among the records above, which one has the highest density of states at the Fermi level?
A: RbCr2SnIr

Q: calculated volume of number 1 (RbScCr2Ir)?
A: 145 Å³/cell